#P
Compound: K2BeIn
Source: Alexandria
Functional: SCAN
Structure: single point on PBEsol structure

POSCAR file:
```
K2BeIn
1.0
-2.337 2.337 5.543
2.337 -2.337 5.543
2.337 2.337 -5.543
K Be In
2 1 1
Direct
0.250 0.750 0.500
0.750 0.250 0.500
0.000 0.000 0.000
0.500 0.500 0.000
```

Output
DOS(E_F) in states/eV per cell: 2.3
Magnetic moment in Bohr magnetons per cell: 0.22


#Q
Compound: K2BeIn
Source: Alexandria
Functional: SCAN
Structure: single point on PBEsol structure

POSCAR file:
```
K2BeIn
1.0
2.427 -2.807 0.000
2.427 2.807 0.000
0.000 0.000 10.152
K Be In
2 1 1
Direct
0.000 0.000 0.000
0.500 0.500 0.400
0.000 0.000 0.669
0.500 0.500 0.733
```

Output
DOS(E_F) in states/eV per cell: 1.9
Magnetic moment in Bohr magnetons per cell: 0.04


#R
Compound: K2BeIn
Source: Alexandria
Functional: SCAN
Structure: single point on PBEsol structure

POSCAR file:
```
K2BeIn
1.0
0.000 4.055 4.055
4.055 0.000 4.055
4.055 4.055 0.000
K Be In
2 1 1
Direct
0.250 0.250 0.250
0.750 0.750 0.750
0.000 0.000 0.000
0.500 0.500 0.500
```

Output
DOS(E_F) in states/eV per cell: 4.9
Magnetic moment in Bohr magnetons per cell: 0.00


Going by the computed energies, the most stable comes first: #Q, #P, #R.


#P
Compound: LaBeIn
Source: Alexandria
Functional: SCAN
Structure: single point on PBEsol structure

POSCAR file:
```
LaBeIn
1.0
4.523 0.000 0.000
-2.261 3.917 0.000
0.000 0.000 3.955
La Be In
1 1 1
Direct
0.000 0.000 0.000
0.667 0.333 0.500
0.333 0.667 0.500
```

Output
DOS(E_F) in states/eV per cell: 2.8
Magnetic moment in Bohr magnetons per cell: 0.00


#Q
Compound: LaBeIn
Source: Alexandria
Functional: SCAN
Structure: single point on PBEsol structure

POSCAR file:
```
LaBeIn
1.0
-1.651 1.651 5.974
1.651 -1.651 5.974
1.651 1.651 -5.974
La Be In
1 1 1
Direct
0.000 0.000 0.000
0.668 0.668 0.000
0.287 0.287 0.000
```

Output
DOS(E_F) in states/eV per cell: 1.2
Magnetic moment in Bohr magnetons per cell: 0.00


Going by the computed energies, the most stable comes first: #P, #Q.


#P
Compound: Li2BeIn
Source: Alexandria
Functional: SCAN
Structure: single point on PBEsol structure

POSCAR file:
```
Li2BeIn
1.0
1.470 0.849 9.032
-1.470 0.849 9.032
0.000 -1.698 9.032
Li Be In
2 1 1
Direct
0.243 0.243 0.243
0.757 0.757 0.757
0.500 0.500 0.500
0.000 0.000 0.000
```

Output
DOS(E_F) in states/eV per cell: 1.4
Magnetic moment in Bohr magnetons per cell: 0.17


#Q
Compound: Li2BeIn
Source: Alexandria
Functional: SCAN
Structure: single point on PBEsol structure

POSCAR file:
```
Li2BeIn
1.0
0.000 3.068 3.068
3.068 0.000 3.068
3.068 3.068 0.000
Li Be In
2 1 1
Direct
0.250 0.250 0.250
0.750 0.750 0.750
0.000 0.000 0.000
0.500 0.500 0.500
```

Output
DOS(E_F) in states/eV per cell: 0.8
Magnetic moment in Bohr magnetons per cell: 0.00


Going by the computed energies, the most stable comes first: #Q, #P.


#P
Compound: MgBe2In
Source: Alexandria
Functional: SCAN
Structure: single point on PBEsol structure

POSCAR file:
```
MgBe2In
1.0
1.505 0.869 8.269
-1.505 0.869 8.269
0.000 -1.738 8.269
Mg Be In
1 2 1
Direct
0.000 0.000 0.000
0.476 0.476 0.476
0.749 0.749 0.749
0.227 0.227 0.227
```

Output
DOS(E_F) in states/eV per cell: 1.3
Magnetic moment in Bohr magnetons per cell: 0.00


#Q
Compound: MgBe2In
Source: Alexandria
Functional: SCAN
Structure: single point on PBEsol structure

POSCAR file:
```
MgBe2In
1.0
2.887 0.000 0.000
0.000 2.887 0.000
0.000 0.000 7.405
Mg Be In
1 2 1
Direct
0.000 0.000 0.000
0.000 0.000 0.377
0.500 0.500 0.243
0.500 0.500 0.652
```

Output
DOS(E_F) in states/eV per cell: 1.4
Magnetic moment in Bohr magnetons per cell: 0.00


Going by the computed energies, the most stable comes first: #Q, #P.


#P
Compound: BeInP
Source: Alexandria
Functional: SCAN
Structure: single point on PBEsol structure

POSCAR file:
```
BeInP
1.0
0.000 3.083 3.083
3.083 0.000 3.083
3.083 3.083 0.000
Be In P
1 1 1
Direct
0.000 0.000 0.000
0.250 0.250 0.250
0.500 0.500 0.500
```

Output
DOS(E_F) in states/eV per cell: 0.5
Magnetic moment in Bohr magnetons per cell: 0.00


#Q
Compound: BeInP
Source: Alexandria
Functional: SCAN
Structure: single point on PBEsol structure

POSCAR file:
```
BeInP
1.0
3.631 0.000 0.000
-1.816 3.145 0.000
0.000 0.000 4.754
Be In P
1 1 1
Direct
0.000 0.000 0.000
0.667 0.333 0.500
0.333 0.667 0.000
```

Output
DOS(E_F) in states/eV per cell: 0.4
Magnetic moment in Bohr magnetons per cell: 0.00


Going by the computed energies, the most stable comes first: #Q, #P.


#P
Compound: BeIn2Pb
Source: Alexandria
Functional: SCAN
Structure: single point on PBEsol structure

POSCAR file:
```
BeIn2Pb
1.0
2.119 -2.516 0.000
2.119 2.516 0.000
0.000 0.000 8.472
Be In Pb
1 2 1
Direct
0.000 0.000 0.000
0.000 0.000 0.536
0.500 0.500 0.819
0.500 0.500 0.213
```

Output
DOS(E_F) in states/eV per cell: 1.5
Magnetic moment in Bohr magnetons per cell: 0.00


#Q
Compound: BeIn2Pb
Source: Alexandria
Functional: SCAN
Structure: single point on PBEsol structure

POSCAR file:
```
BeIn2Pb
1.0
2.099 1.212 6.249
-2.099 1.212 6.249
0.000 -2.424 6.249
Be In Pb
1 2 1
Direct
0.000 0.000 0.000
0.296 0.296 0.296
0.533 0.533 0.533
0.743 0.743 0.743
```

Output
DOS(E_F) in states/eV per cell: 1.0
Magnetic moment in Bohr magnetons per cell: 0.00


Going by the computed energies, the most stable comes first: #Q, #P.


#P
Compound: BeIn2Pb
Source: Alexandria
Functional: SCAN
Structure: single point on PBEsol structure

POSCAR file:
```
BeIn2Pb
1.0
0.000 3.605 3.605
3.605 0.000 3.605
3.605 3.605 0.000
Be In Pb
1 2 1
Direct
0.000 0.000 0.000
0.250 0.250 0.250
0.750 0.750 0.750
0.500 0.500 0.500
```

Output
DOS(E_F) in states/eV per cell: 1.4
Magnetic moment in Bohr magnetons per cell: 0.00


#Q
Compound: BeIn2Pb
Source: Alexandria
Functional: SCAN
Structure: single point on PBEsol structure

POSCAR file:
```
BeIn2Pb
1.0
-2.117 2.117 5.105
2.117 -2.117 5.105
2.117 2.117 -5.105
Be In Pb
1 2 1
Direct
0.000 0.000 0.000
0.250 0.750 0.500
0.750 0.250 0.500
0.500 0.500 0.000
```

Output
DOS(E_F) in states/eV per cell: 1.8
Magnetic moment in Bohr magnetons per cell: 0.00


Going by the computed energies, the most stable comes first: #Q, #P.


#P
Compound: BeInPt2
Source: Alexandria
Functional: SCAN
Structure: single point on PBEsol structure

POSCAR file:
```
BeInPt2
1.0
2.887 0.000 0.000
0.000 4.236 0.000
-1.438 0.000 4.951
Be In Pt
1 1 2
Direct
0.000 0.000 0.000
0.669 0.500 0.326
0.297 0.000 0.580
0.939 0.500 0.865
```

Output
DOS(E_F) in states/eV per cell: 1.1
Magnetic moment in Bohr magnetons per cell: 0.00


#Q
Compound: BeInPt2
Source: Alexandria
Functional: SCAN
Structure: single point on PBEsol structure

POSCAR file:
```
BeInPt2
1.0
1.451 0.838 8.109
-1.451 0.838 8.109
0.000 -1.675 8.109
Be In Pt
1 1 2
Direct
0.000 0.000 0.000
0.500 0.500 0.500
0.265 0.265 0.265
0.735 0.735 0.735
```

Output
DOS(E_F) in states/eV per cell: 1.2
Magnetic moment in Bohr magnetons per cell: 0.00


#R
Compound: BeInPt2
Source: Alexandria
Functional: SCAN
Structure: single point on PBEsol structure

POSCAR file:
```
BeInPt2
1.0
-1.884 1.884 4.185
1.884 -1.884 4.185
1.884 1.884 -4.185
Be In Pt
1 1 2
Direct
0.000 0.000 0.000
0.750 0.250 0.500
0.250 0.750 0.500
0.500 0.500 0.000
```

Output
DOS(E_F) in states/eV per cell: 1.3
Magnetic moment in Bohr magnetons per cell: 0.00


Going by the computed energies, the most stable comes first: #P, #Q, #R.